Density functional theory data (PBE+U) for a relaxed BeFeF4 crystal.

Computed properties:
ΔE to the lowest computed polymorph	0	meV per atom

a = 5.0016 Å, b = 5.0016 Å, c = 7.6999 Å
α = 83.85°, β = 83.85°, γ = 69.63°
With the nearest neighbours (Å) after each atom.
Atoms (fractional coordinates):
1 Be 0.1038 0.8962 0.2500  4 F 1.56-1.57
2 Be 0.8962 0.1038 0.7500  4 F 1.56-1.57
3 Fe 0.5000 0.0000 0.5000  4 F 1.99-2.00
4 Fe 0.0000 0.5000 0.0000  4 F 1.99-2.00
5 F 0.2076 0.1069 0.7010  1 Be 1.57
6 F 0.2896 0.7764 0.4097  1 Be 1.56
7 F 0.7104 0.2236 0.5903  1 Be 1.56
8 F 0.1069 0.2076 0.2010  1 Be 1.57
9 F 0.8931 0.7924 0.7990  1 Be 1.57
10 F 0.2236 0.7104 0.0903  1 Be 1.56
11 F 0.7764 0.2896 0.9097  1 Be 1.56
12 F 0.7924 0.8931 0.2990  1 Be 1.57